[1]
A relaxed Tl8HgAu6 crystal, computed with GGA-PBE.

a = 8.095 Å, b = 8.095 Å, c = 8.095 Å
α = 63.61°, β = 63.61°, γ = 63.61°
Positions (direct):
Tl  0.546  0.896  0.229
Tl  0.454  0.104  0.771
Tl  0.104  0.771  0.454
Au  0.613  0.257  0.928
Au  0.257  0.928  0.613
Tl  0.771  0.454  0.104
Au  0.387  0.743  0.072
Tl  0.896  0.229  0.546
Hg  0.000  0.000  0.000
Tl  0.665  0.665  0.665
Au  0.072  0.387  0.743
Au  0.743  0.072  0.387
Au  0.928  0.613  0.257
Tl  0.229  0.546  0.896
Tl  0.335  0.335  0.335

## Properties
**Space-group type**: R-3 (148)
**Energy relative to the elements**: 0.00 eV/atom
**Final energy**: -38.88 eV per formula unit



[2]
A relaxed TlHg2Au2 crystal, computed with GGA-PBE.

a = 4.359 Å, b = 4.359 Å, c = 7.305 Å
α = 72.64°, β = 72.64°, γ = 90.00°
Positions (direct):
Au  0.398  0.398  0.203
Au  0.602  0.602  0.797
Hg  0.250  0.750  0.500
Hg  0.750  0.250  0.500
Tl  0.000  0.000  0.000

## Properties
**Space-group type**: I4/mmm (139)
**Energy above the lowest structure with this stoichiometry**: 0.009 eV per atom
**Energy relative to the elements**: 0.03 eV/atom
**Final energy**: -9.39 eV per formula unit



[3]
A relaxed TlHgAu crystal, computed with GGA-PBE.

a = 4.221 Å, b = 6.096 Å, c = 6.880 Å
α = 90.46°, β = 107.76°, γ = 113.01°
Positions (direct):
Au  0.462  0.129  0.830
Au  0.538  0.871  0.170
Hg  0.115  0.758  0.452
Hg  0.885  0.242  0.548
Tl  0.762  0.679  0.840
Tl  0.238  0.321  0.160

## Properties
**Space-group type**: P-1 (2)
**Energy above the lowest structure with this stoichiometry**: 0.000 eV per atom
**Energy relative to the elements**: -0.03 eV/atom
**Final energy**: -6.03 eV per formula unit



[4]
A relaxed Tl12Hg2Au5 crystal, computed with GGA-PBE.

a = 6.736 Å, b = 8.805 Å, c = 10.722 Å
α = 65.76°, β = 69.86°, γ = 90.00°
Positions (direct):
Tl  0.804  0.481  0.427
Tl  0.086  0.871  0.258
Tl  0.172  0.450  0.100
Au  0.221  0.304  0.392
Tl  0.196  0.519  0.573
Tl  0.483  0.354  0.802
Tl  0.517  0.156  0.198
Tl  0.914  0.129  0.742
Tl  0.196  0.907  0.573
Au  0.573  0.802  0.395
Hg  0.000  0.814  0.000
Tl  0.804  0.093  0.427
Tl  0.483  0.844  0.802
Au  0.427  0.198  0.605
Au  0.500  0.000  0.000
Au  0.779  0.696  0.608
Hg  0.000  0.186  0.000
Tl  0.828  0.550  0.900
Tl  0.517  0.646  0.198

## Properties
**Space-group type**: C2/m (12)
**Energy relative to the elements**: 0.01 eV/atom
**Final energy**: -45.16 eV per formula unit



Q: Among the records above, which one has the lowest energy relative to the elements?
A: TlHgAu



Please write out number 2 again, unchanged.
A relaxed TlHg2Au2 crystal, computed with GGA-PBE.

a = 4.359 Å, b = 4.359 Å, c = 7.305 Å
α = 72.64°, β = 72.64°, γ = 90.00°
Positions (direct):
Au  0.398  0.398  0.203
Au  0.602  0.602  0.797
Hg  0.250  0.750  0.500
Hg  0.750  0.250  0.500
Tl  0.000  0.000  0.000

## Properties
**Space-group type**: I4/mmm (139)
**Energy above the lowest structure with this stoichiometry**: 0.009 eV per atom
**Energy relative to the elements**: 0.03 eV/atom
**Final energy**: -9.39 eV per formula unit



Q: The highest final energy belongs to which entry?
A: TlHgAu